A relaxed structure of Cs2SrCoO4. Source: Alexandria, functional PBE+U.

E, eV per atom: -4.881
M_tot, μB per atom: 0.625

Structure (POSCAR):
```
Cs2SrCoO4
1.0
0.000 6.253 12.376
2.959 0.000 12.376
2.959 6.253 0.000
Cs Sr Co O
4 2 2 8
Cartesian
2.219 4.689 1.538 Cs
3.699 7.816 7.726 Cs
2.219 4.689 17.026 Cs
3.699 7.816 23.214 Cs
0.740 1.563 3.094 Sr
5.179 10.942 21.658 Sr
2.219 4.689 9.282 Co
3.699 7.816 15.470 Co
3.326 3.592 8.341 O
3.326 5.787 10.223 O
4.805 6.719 16.411 O
4.805 8.913 14.529 O
1.113 3.592 10.223 O
1.113 5.787 8.341 O
2.593 6.719 14.529 O
2.593 8.913 16.411 O
```